## Pm2Nd5Dy4 (GGA-PBE)

Data for crystalline Pm2Nd5Dy4 at its relaxed geometry.

```
11
Lattice="-2.7653 -2.0952 -0.8221 7.4014 -8.6826 -2.7674 0.7040 -1.4174 8.9755" Properties=species:S:1:pos:R:3 pbc="T T T"
Pm 0.9309 -5.1721 2.3183
Pm 4.4092 -7.0232 3.0677
Nd 1.5044 -7.0710 5.2289
Nd 3.8358 -5.1242 0.1571
Nd 5.0612 -10.7188 2.5616
Nd -1.3826 -1.0476 -0.4111
Nd 0.2789 -1.4764 2.8244
Dy 1.0115 -3.5342 5.6044
Dy 3.4675 -9.7823 5.5354
Dy 4.3286 -8.6610 -0.2184
Dy 1.8727 -2.4130 -0.1495
```

## Properties
The value obtained for the calculated formation energy is 0.07 eV per atom. As for the energy above the lowest structure with this stoichiometry: 0.000 eV/atom. The density of states at the Fermi level comes out at 15.697 states/eV per cell. The value obtained for the electronic total energy is -4.634 eV per atom.